A relaxed LaZn2Fe crystal. Source: the Alexandria database, functional PBE-GGA.

Values from the calculation:
ΔE_f: 9.03 kJ per mole of atoms
Magnetization: 1.85 μB per formula unit

Unit cell a=3.0644 b=3.4778 c=7.0926 alpha=90.00 beta=90.00 gamma=90.00
With the nearest neighbours (Å) after each atom.
Space group Pmm2 (No. 25)
One atom of each set of equivalent atoms:
La 0.0000 0.0000 0.0000  2 La 3.06, 4 Fe 3.09, 5 Zn 3.20-3.34
Zn 0.0000 0.0000 0.5491  4 Fe 2.59, 4 Zn 2.75
Zn 0.5000 0.5000 0.3394  1 Fe 2.64, 4 Zn 2.75
Fe 0.5000 0.5000 0.7110  5 Zn 2.59-2.64

A relaxed La2ZnFe crystal. Source: the Alexandria database, functional PBE-GGA.

Values from the calculation:
ΔE_f: -0.58 kJ per mole of atoms
Magnetization: 1.13 μB per formula unit

Unit cell a=4.0920 b=4.4636 c=5.9717 alpha=90.00 beta=109.94 gamma=90.00
With the nearest neighbours (Å) after each atom.
Space group Pm (No. 6)
One atom of each set of equivalent atoms:
La 0.0000 0.0000 0.0000  3 Fe 3.03-3.37, 4 Zn 3.16
La 0.2838 0.5000 0.5680  3 Zn 3.07-3.32, 4 Fe 3.17
Zn 0.5800 0.5000 0.1595  2 Fe 2.61
Fe 0.7004 0.0000 0.3997  2 Zn 2.61

A relaxed La2ZnFe crystal. Source: the Alexandria database, functional PBE-GGA.

Values from the calculation:
ΔE_f: 10.57 kJ per mole of atoms
Magnetization: 1.84 μB per formula unit

Unit cell a=3.4936 b=3.4936 c=8.1335 alpha=90.00 beta=90.00 gamma=90.00
With the nearest neighbours (Å) after each atom.
Space group P4mm (No. 99)
One atom of each set of equivalent atoms:
La 0.0000 0.0000 0.0000  1 Zn 2.96, 4 Fe 3.20
La 0.5000 0.5000 0.3963  1 Fe 2.87, 4 Zn 3.15
Zn 0.0000 0.0000 0.6367  4 Fe 2.63
Fe 0.5000 0.5000 0.7492  4 Zn 2.63, 1 La 2.87

A relaxed LaZn2Fe crystal. Source: the Alexandria database, functional PBE-GGA.

Values from the calculation:
ΔE_f: 9.61 kJ per mole of atoms
Magnetization: 2.27 μB per formula unit

Unit cell a=3.0055 b=4.0601 c=6.5535 alpha=90.00 beta=103.07 gamma=90.00
With the nearest neighbours (Å) after each atom.
Space group Pm (No. 6)
One atom of each set of equivalent atoms:
La 0.0000 0.0000 0.0000  5 Zn 3.00-3.17, 2 La 3.01
Zn 0.6475 0.5000 0.3006  2 Zn 2.50, 2 Fe 2.65-2.66
Zn 0.7591 0.0000 0.5294  2 Zn 2.50, 4 Fe 2.62-2.63
Fe 0.3180 0.5000 0.6436  6 Zn 2.62-2.66

A relaxed LaZn2Fe crystal. Source: the Alexandria database, functional PBE-GGA.

Values from the calculation:
ΔE_f: -3.90 kJ per mole of atoms
Magnetization: 1.96 μB per formula unit

Unit cell a=7.5296 b=4.3618 c=5.5679 alpha=90.00 beta=116.76 gamma=90.00
With the nearest neighbours (Å) after each atom.
Space group Cm (No. 8)
One atom of each set of equivalent atoms:
La 0.0000 0.0000 0.0000  1 Fe 2.77, 1 Zn 3.01
Zn 0.2028 0.0000 0.6052  3 Zn 2.61, 3 Fe 2.63-2.64
Zn 0.4886 0.0000 0.4628  3 Fe 2.52, 3 Zn 2.61
Fe 0.3160 0.5000 0.4433  6 Zn 2.52-2.64, 1 La 2.77

A relaxed LaZnFe2 crystal. Source: the Alexandria database, functional PBE-GGA.

Values from the calculation:
ΔE_f: 37.30 kJ per mole of atoms
Magnetization: 2.71 μB per formula unit

Unit cell a=4.3031 b=4.3031 c=3.5959 alpha=90.00 beta=90.00 gamma=90.00
With the nearest neighbours (Å) after each atom.
Space group P4/mmm (No. 123)
One atom of each set of equivalent atoms:
La 0.0000 0.0000 0.0000  8 Fe 2.80, 4 Zn 3.04
Zn 0.5000 0.5000 0.0000  8 Fe 2.80, 4 La 3.04
Fe 0.0000 0.5000 0.5000  4 La 2.80, 4 Zn 2.80, 4 Fe 3.04